No. 1
VASP calculation (PBE) on a relaxed HfScC crystal.

```
12
Lattice="3.3444 0.0000 0.0000 0.0000 5.5738 0.0000 0.0000 0.0000 10.8323" Properties=species:S:1:pos:R:3 pbc="T T T"
Hf 0.8361 5.0050 7.9893
Hf 2.5083 0.5689 2.8430
Hf 2.5083 2.2180 8.2591
Hf 0.8361 3.3558 2.5732
Sc 0.8361 1.3179 5.5115
Sc 2.5083 4.2559 5.3208
Sc 2.5083 4.1048 10.7369
Sc 0.8361 1.4690 0.0953
C 0.8361 5.1629 3.9931
C 2.5083 0.4109 6.8392
C 2.5083 2.3760 1.4230
C 0.8361 3.1978 9.4092
```

Formation energy from the elements = -11.4 kcal/mol of atoms
Raw total energy = -8.9988 eV per atom
M_tot = 0.00 μB per atom
Relative energy among the computed polymorphs = 103 meV per atom

No. 2
VASP calculation (PBE) on a relaxed HfScC3 crystal.

```
5
Lattice="4.0290 0.0000 0.0000 0.0000 4.0290 0.0000 0.0000 0.0000 4.0290" Properties=species:S:1:pos:R:3 pbc="T T T"
Sc 0.0000 0.0000 0.0000
C 0.0000 2.0145 0.0000
C 0.0000 0.0000 2.0145
C 2.0145 0.0000 0.0000
Hf 2.0145 2.0145 2.0145
```

Formation energy from the elements = 36.4 kcal/mol of atoms
Raw total energy = -7.2119 eV per atom
M_tot = 0.00 μB per atom
Relative energy among the computed polymorphs = 345 meV per atom

No. 3
VASP calculation (PBE) on a relaxed Hf2Sc2C3 crystal.

```
7
Lattice="-0.1349 -1.3784 2.9961 3.8882 -2.9619 -3.0058 3.3527 4.1777 2.0729" Properties=species:S:1:pos:R:3 pbc="T T T"
Hf 3.8964 2.1125 2.9653
Hf 3.2096 -2.2750 -0.9022
Sc 4.8220 -0.7152 1.7062
Sc 2.2840 0.5526 0.3570
C 0.0000 0.0000 0.0000
C 2.6859 -1.5083 1.2451
C 4.4201 1.3458 0.8181
```

Formation energy from the elements = -16.2 kcal/mol of atoms
Raw total energy = -9.3086 eV per atom
M_tot = 0.03 μB per atom
Relative energy among the computed polymorphs = 0 meV per atom

No. 4
VASP calculation (PBE) on a relaxed HfSc2C crystal.

```
4
Lattice="7.6602 -1.0961 5.5859 8.8035 1.1134 3.5131 7.0653 2.0483 6.0803" Properties=species:S:1:pos:R:3 pbc="T T T"
Sc 21.7526 1.9096 14.0332
Sc 1.7764 0.1559 1.1460
C 0.0000 0.0000 0.0000
Hf 11.7645 1.0328 7.5896
```

Formation energy from the elements = 22.0 kcal/mol of atoms
Raw total energy = -7.0039 eV per atom
M_tot = 0.00 μB per atom

No. 5
VASP calculation (PBE) on a relaxed HfSc2C crystal.

```
8
Lattice="-0.4652 -8.1491 -1.6064 4.8020 -1.5766 6.6076 0.3461 -5.0128 3.7892" Properties=species:S:1:pos:R:3 pbc="T T T"
Sc 0.4581 -5.4563 0.9836
Sc 2.9675 -4.3444 4.6620
Sc 2.5265 -7.6171 5.5989
Sc 3.4136 -12.0593 6.3365
C 2.1684 -4.8629 2.5006
C 3.6582 -5.7262 6.4487
Hf 0.0000 0.0000 0.0000
Hf 1.0246 -9.0124 2.3417
```

Formation energy from the elements = 1.7 kcal/mol of atoms
Raw total energy = -7.8883 eV per atom
M_tot = 0.00 μB per atom

No. 6
VASP calculation (PBE) on a relaxed HfSc2C crystal.

```
4
Lattice="-8.7104 -1.7771 0.4495 -7.6387 -4.4707 -0.9455 -7.5356 -4.1663 2.2555" Properties=species:S:1:pos:R:3 pbc="T T T"
Sc -21.0457 -9.1762 1.5503
Sc -2.8390 -1.2378 0.2091
C -11.9424 -5.2070 0.8797
Hf 0.0000 0.0000 0.0000
```

Formation energy from the elements = -2.3 kcal/mol of atoms
Raw total energy = -8.0581 eV per atom
M_tot = 0.00 μB per atom